Record 1
Here is a relaxed structure of Tb3TmMg2 from Alexandria via LeMat-Bulk. Energies are from GGA-PBE.

Summary:
Space group: P4/mmm (123)
Fermi-level density of states, states/eV/f.u.: 8.3
M_tot, μB per formula unit: 0.00
Total energy, eV/atom: -3.630
DFT formation energy, eV/f.u.: -0.23

Lattice parameters (Å, degrees): 3.6943 3.6943 12.6178 90.00 90.00 90.00
With the nearest neighbours (Å) after each atom.
Fractional coordinates of all 6 atoms:
Tb1 0.0000 0.0000 0.3123  4 Mg 3.28, 4 Tm 3.53
Tb2 0.0000 0.0000 0.0000  8 Mg 3.26
Mg1 0.5000 0.5000 0.8452  8 Tb 3.26-3.28
Tb3 0.0000 0.0000 0.6877  4 Mg 3.28, 4 Tm 3.53
Mg2 0.5000 0.5000 0.1548  8 Tb 3.26-3.28
Tm1 0.5000 0.5000 0.5000  8 Tb 3.53, 4 Tm 3.69

Record 2
Here is a relaxed structure of Zr2SbAsN from Alexandria via LeMat-Bulk. Energies are from GGA-PBE.

Summary:
Space group: P4/mmm (123)
Fermi-level density of states, states/eV/f.u.: 2.8
M_tot, μB per formula unit: 0.00
Total energy, eV/atom: -7.224

Lattice parameters (Å, degrees): 4.7266 4.0914 4.7266 90.00 90.00 90.00
With the nearest neighbours (Å) after each atom.
Fractional coordinates of all 5 atoms:
N1 0.0000 0.0000 0.0000  2 As 2.05
Zr1 0.5000 0.0000 0.0000  2 N 2.36
As1 0.0000 0.5000 0.0000  2 N 2.05
Zr2 0.0000 0.0000 0.5000  2 N 2.36
Sb1 0.5000 0.5000 0.5000  8 Zr 3.13, 4 As 3.34

Record 3
Here is a relaxed structure of BaIn2Cu from Alexandria via LeMat-Bulk. Energies are from GGA-PBE.

Summary:
Space group: Cmmm (65)
Fermi-level density of states, states/eV/f.u.: 1.7
M_tot, μB per formula unit: 0.00
Total energy, eV/atom: -3.085
DFT formation energy, eV/f.u.: -0.84

Lattice parameters (Å, degrees): 4.6440 5.1862 5.1864 67.96 90.00 90.00
With the nearest neighbours (Å) after each atom.
Fractional coordinates of all 4 atoms:
In1 0.0000 0.9219 0.9219  2 Cu 2.75, 1 In 2.96
Ba1 0.5000 0.2500 0.2500  2 Cu 2.90
Cu1 0.5000 0.7500 0.7500  4 In 2.75, 2 Ba 2.90
In2 0.0000 0.5781 0.5781  2 Cu 2.75, 1 In 2.96

Record 4
Here is a relaxed structure of Er4NiTe2 from Alexandria via LeMat-Bulk. Energies are from GGA-PBE.

Summary:
Space group: Pbam (55)
Fermi-level density of states, states/eV/f.u.: 4.4
M_tot, μB per formula unit: 0.00
Total energy, eV/atom: -5.175

Lattice parameters (Å, degrees): 4.1546 7.8305 12.0756 90.00 90.00 90.00
With the nearest neighbours (Å) after each atom.
Fractional coordinates of all 14 atoms:
Er1 0.0000 0.6396 0.8037  1 Ni 2.61
Er2 0.0000 0.1396 0.6963  1 Ni 2.61
Er3 0.5000 0.6946 0.0579  2 Ni 2.67
Er4 0.5000 0.8054 0.5579  2 Ni 2.67
Ni1 0.0000 0.0000 0.5000  6 Er 2.61-2.67
Er5 0.5000 0.3054 0.9421  2 Ni 2.67
Te1 0.5000 0.5673 0.3350  7 Er 3.12-3.49
Te2 0.5000 0.9327 0.8350  7 Er 3.12-3.49
Te3 0.5000 0.0673 0.1650  7 Er 3.12-3.49
Er6 0.5000 0.1946 0.4421  2 Ni 2.67
Er7 0.0000 0.3604 0.1963  1 Ni 2.61
Er8 0.0000 0.8604 0.3037  1 Ni 2.61
Ni2 0.0000 0.5000 0.0000  6 Er 2.61-2.67
Te4 0.5000 0.4327 0.6650  7 Er 3.12-3.49

Record 5
Here is a relaxed structure of Y2Zr from Alexandria via LeMat-Bulk. Energies are from GGA-PBE.

Summary:
Space group: P4/mmm (123)
Fermi-level density of states, states/eV/f.u.: 4.5
Energy relative to the lowest polymorph listed for this composition, meV per atom: 397.7
M_tot, μB per formula unit: 0.00
Total energy, eV/atom: -6.676
DFT formation energy, eV/f.u.: 1.45

Lattice parameters (Å, degrees): 5.4858 5.4858 3.3267 90.00 90.00 90.00
With the nearest neighbours (Å) after each atom.
Fractional coordinates of all 3 atoms:
Y1 0.0000 0.5000 0.5000  4 Zr 3.21, 2 Y 3.33
Zr1 0.0000 0.0000 0.0000  8 Y 3.21, 2 Zr 3.33
Y2 0.5000 0.0000 0.5000  4 Zr 3.21, 2 Y 3.33

Record 6
Here is a relaxed structure of AlZnRu2 from Alexandria via LeMat-Bulk. Energies are from GGA-PBE.

Summary:
Space group: I-4m2 (119)
Fermi-level density of states, states/eV/f.u.: 4.0
M_tot, μB per formula unit: 0.00
Total energy, eV/atom: -6.007
DFT formation energy, eV/f.u.: -0.46

Lattice parameters (Å, degrees): 4.6725 4.6725 4.6725 131.50 131.50 71.02
With the nearest neighbours (Å) after each atom.
Fractional coordinates of all 4 atoms:
Ru1 0.2500 0.7500 0.5000  4 Ru 2.70, 4 Zn 2.70, 4 Al 2.71
Al1 0.7500 0.2500 0.5000  8 Ru 2.70-2.71, 4 Zn 2.70
Ru2 0.0000 0.0000 0.0000  4 Ru 2.70, 4 Al 2.70, 4 Zn 2.71
Zn1 0.5000 0.5000 0.0000  8 Ru 2.70-2.71, 4 Al 2.70

Record 7
Here is a relaxed structure of Sr2CuSnN from Alexandria via LeMat-Bulk. Energies are from GGA-PBE.

Summary:
Space group: P4/mmm (123)
Fermi-level density of states, states/eV/f.u.: 5.1
M_tot, μB per formula unit: 0.11
Total energy, eV/atom: -4.328

Lattice parameters (Å, degrees): 5.6495 5.6495 3.7100 90.00 90.00 90.00
With the nearest neighbours (Å) after each atom.
Fractional coordinates of all 5 atoms:
N1 0.0000 0.0000 0.0000  2 Cu 1.86
Cu1 0.0000 0.0000 0.5000  2 N 1.86
Sr1 0.0000 0.5000 0.0000  2 N 2.82
Sn1 0.5000 0.5000 0.5000  8 Sr 3.38, 2 Sn 3.71
Sr2 0.5000 0.0000 0.0000  2 N 2.82

Record 8
Here is a relaxed structure of Mg4In2Pd from Alexandria via LeMat-Bulk. Energies are from GGA-PBE.

Summary:
Space group: I4/mmm (139)
Fermi-level density of states, states/eV/f.u.: 3.0
Energy relative to the lowest polymorph listed for this composition, meV per atom: 163.9
M_tot, μB per formula unit: 0.00
Total energy, eV/atom: -2.492
DFT formation energy, eV/f.u.: -0.39

Lattice parameters (Å, degrees): 4.9573 4.9573 8.1988 72.40 72.40 90.00
With the nearest neighbours (Å) after each atom.
Fractional coordinates of all 7 atoms:
Mg1 0.5000 0.0000 0.0000  2 Pd 2.48
Mg2 0.8261 0.8261 0.3479  1 Pd 2.58
Mg3 0.1739 0.1739 0.6521  1 Pd 2.58
In1 0.3699 0.3699 0.2603  5 Mg 2.90-3.14
In2 0.6301 0.6301 0.7397  5 Mg 2.90-3.14
Mg4 0.0000 0.5000 0.0000  2 Pd 2.48
Pd1 0.0000 0.0000 0.0000  6 Mg 2.48-2.58